A geometry-optimized VBiF3 structure. Source: Alexandria, functional PBE+U.

Cell lengths 4.7094, 4.7094, 4.7094 Å; angles 90.00, 90.00, 90.00 degrees
Closest atoms and distances in Å follow each position.
Fractional positions:
V 0.5000 0.5000 0.5000  12 F 3.33
Bi 0.0000 0.0000 0.0000  6 F 2.35
F 0.0000 0.5000 0.0000  2 Bi 2.35
F 0.0000 0.0000 0.5000  2 Bi 2.35
F 0.5000 0.0000 0.0000  2 Bi 2.35

## Properties
Uncorrected energy in eV for the cell shown: -22.186
Space-group type: Pm-3m (221)
Magnetic moment in μB per formula unit: 4.1